1:
{"formula": "Hf2ThMo", "functional": "PBE", "state": "optimized geometry", "lattice": [[-2.767, -1.383, -0.960], [-0.506, -0.599, -3.143], [3.228, -10.064, -0.272]], "species": ["Hf", "Hf", "Mo", "Th"], "frac_coords": [[0.898, 0.898, 0.305], [0.102, 0.102, 0.695], [0.500, 0.500, 0.500], [0.000, 0.000, 0.000]], "space_group": "R-3m (166)", "dos_at_fermi_per_ev_cell": 3.52, "volume_a3_per_atom": 23.639}



2:
{"formula": "Hf2ThMo", "functional": "PBE", "state": "optimized geometry", "lattice": [[-0.837, -2.551, -2.045], [1.756, -2.131, 1.940], [-6.605, -1.396, 4.442]], "species": ["Hf", "Hf", "Th", "Mo"], "frac_coords": [[0.000, 0.000, 0.192], [0.000, 0.000, 0.808], [0.500, 0.500, 0.500], [0.500, 0.500, 0.000]], "space_group": "P4/mmm (123)", "dos_at_fermi_per_ev_cell": 4.70, "volume_a3_per_atom": 23.011}



Energies in kJ/mol of atoms, measured from the most stable structure: 1 31.4; 2 0.0.



1:
{"formula": "HfTi2Mo", "functional": "PBE", "state": "optimized geometry", "lattice": [[3.110, 0.000, -0.968], [-0.605, 4.260, -1.942], [0.002, -0.114, 5.487]], "species": ["Ti", "Ti", "Hf", "Mo"], "frac_coords": [[0.222, 0.221, 0.443], [0.778, 0.779, 0.557], [0.000, 0.500, 0.000], [0.500, 0.000, 0.000]], "space_group": "Immm (71)", "dos_at_fermi_per_ev_cell": 4.92, "volume_a3_per_atom": 17.983}



2:
{"formula": "HfTi2Mo", "functional": "PBE", "state": "optimized geometry", "lattice": [[3.087, 0.000, 0.000], [1.544, 2.674, 0.000], [1.544, 0.891, 8.839]], "species": ["Hf", "Ti", "Ti", "Mo"], "frac_coords": [[0.500, 0.500, 0.500], [0.740, 0.740, 0.780], [0.260, 0.260, 0.220], [0.000, 0.000, 0.000]], "space_group": "R-3m (166)", "dos_at_fermi_per_ev_cell": 4.64, "volume_a3_per_atom": 18.241}



3:
{"formula": "HfTi2Mo", "functional": "PBE", "state": "optimized geometry", "lattice": [[-0.626, 7.163, 0.807], [-3.370, -1.007, 6.323], [0.502, 3.145, 4.908]], "species": ["Ti", "Ti", "Ti", "Ti", "Hf", "Hf", "Mo", "Mo"], "frac_coords": [[0.875, 0.846, 0.750], [0.596, 0.125, 0.250], [0.154, 0.625, 0.250], [0.375, 0.404, 0.750], [0.000, 0.000, 0.000], [0.750, 0.250, 0.500], [0.250, 0.750, 0.500], [0.500, 0.500, 0.000]], "space_group": "I-42d (122)", "dos_at_fermi_per_ev_cell": 11.26, "volume_a3_per_atom": 18.572}



4:
{"formula": "HfTi2Mo", "functional": "PBE", "state": "optimized geometry", "lattice": [[-1.926, -2.666, -0.538], [0.957, 0.213, -4.483], [3.620, -2.746, 0.643]], "species": ["Ti", "Ti", "Mo", "Hf"], "frac_coords": [[0.000, 0.500, 0.000], [0.000, 0.000, 0.500], [0.500, 0.000, 0.000], [0.500, 0.500, 0.500]], "space_group": "P4/mmm (123)", "dos_at_fermi_per_ev_cell": 7.36, "volume_a3_per_atom": 17.542}



Energies in kJ/mol of atoms, measured from the most stable structure: 1 0.0; 2 18.4; 3 48.7; 4 15.4.



1:
{"formula": "HfTi2Mo", "functional": "PBE", "state": "optimized geometry", "lattice": [[-0.727, -3.026, 0.910], [1.643, -1.160, -2.544], [5.645, -0.228, 3.750]], "species": ["Mo", "Hf", "Ti", "Ti"], "frac_coords": [[0.500, 0.500, 0.000], [0.500, 0.500, 0.500], [0.000, 0.000, 0.787], [0.000, 0.000, 0.213]], "space_group": "P4/mmm (123)", "dos_at_fermi_per_ev_cell": 5.99, "volume_a3_per_atom": 17.824}



2:
{"formula": "HfTi2Mo", "functional": "PBE", "state": "optimized geometry", "lattice": [[3.126, 0.000, 0.000], [0.000, 4.756, 0.000], [-1.563, 0.000, 9.844]], "species": ["Mo", "Mo", "Hf", "Hf", "Ti", "Ti", "Ti", "Ti"], "frac_coords": [[0.845, 0.750, 0.690], [0.155, 0.250, 0.310], [0.397, 0.250, 0.793], [0.603, 0.750, 0.207], [0.760, 0.250, 0.520], [0.967, 0.750, 0.935], [0.033, 0.250, 0.065], [0.240, 0.750, 0.480]], "space_group": "Cmcm (63)", "dos_at_fermi_per_ev_cell": 10.08, "volume_a3_per_atom": 18.295}



3:
{"formula": "HfTi2Mo", "functional": "PBE", "state": "optimized geometry", "lattice": [[0.000, 3.272, 3.272], [3.272, 0.000, 3.272], [3.272, 3.272, 0.000]], "species": ["Ti", "Ti", "Mo", "Hf"], "frac_coords": [[0.750, 0.750, 0.750], [0.250, 0.250, 0.250], [0.000, 0.000, 0.000], [0.500, 0.500, 0.500]], "space_group": "Fm-3m (225)", "dos_at_fermi_per_ev_cell": 8.32, "volume_a3_per_atom": 17.523}



Energies in kJ/mol of atoms, measured from the most stable structure: 1 0.0; 2 13.7; 3 10.2.



1:
{"formula": "TmHfMo", "functional": "PBE", "state": "optimized geometry", "lattice": [[3.240, 0.000, 0.000], [1.620, 2.806, 0.000], [1.620, 0.935, 14.785]], "species": ["Hf", "Hf", "Tm", "Tm", "Mo", "Mo"], "frac_coords": [[0.097, 0.097, 0.709], [0.903, 0.903, 0.291], [0.632, 0.632, 0.103], [0.368, 0.368, 0.897], [0.187, 0.187, 0.439], [0.813, 0.813, 0.561]], "space_group": "R-3m (166)", "dos_at_fermi_per_ev_cell": 7.77, "volume_a3_per_atom": 22.400}



2:
{"formula": "TmHfMo", "functional": "PBE", "state": "optimized geometry", "lattice": [[-1.233, 1.124, -3.054], [-3.060, 0.711, 1.498], [3.891, 4.145, 1.938]], "species": ["Mo", "Hf", "Tm"], "frac_coords": [[0.685, 0.685, 0.370], [0.301, 0.301, 0.601], [0.014, 0.014, 0.029]], "space_group": "I4mm (107)", "dos_at_fermi_per_ev_cell": 3.37, "volume_a3_per_atom": 22.123}



Energies in kJ/mol of atoms, measured from the most stable structure: 1 15.7; 2 0.0.



1:
{"formula": "HfUMo", "functional": "PBE", "state": "optimized geometry", "lattice": [[3.391, 0.000, 0.000], [0.000, 3.391, 0.000], [-1.695, -1.695, 5.191]], "species": ["Mo", "U", "Hf"], "frac_coords": [[0.267, 0.267, 0.534], [0.637, 0.637, 0.274], [0.946, 0.946, 0.892]], "space_group": "I4mm (107)", "dos_at_fermi_per_ev_cell": 4.04, "volume_a3_per_atom": 19.894}



2:
{"formula": "HfUMo", "functional": "PBE", "state": "optimized geometry", "lattice": [[2.816, 0.000, 0.000], [0.000, 2.771, -0.590], [-1.408, -3.188, 8.371]], "species": ["U", "Hf", "Mo"], "frac_coords": [[0.841, 0.757, 0.683], [0.663, 0.627, 0.325], [0.496, 0.616, 0.992]], "space_group": "Cm (8)", "dos_at_fermi_per_ev_cell": 5.40, "volume_a3_per_atom": 20.012}



Energies in kJ/mol of atoms, measured from the most stable structure: 1 0.0; 2 44.0.



1:
{"formula": "Hf3V8Mo", "functional": "PBE", "state": "optimized geometry", "lattice": [[-2.737, -3.496, -2.486], [1.567, -4.840, -0.127], [-4.757, -4.378, 6.187]], "species": ["V", "V", "V", "V", "V", "V", "V", "V", "Hf", "Hf", "Hf", "Mo"], "frac_coords": [[0.188, 0.188, 0.435], [0.437, 0.437, 0.194], [0.933, 0.437, 0.194], [0.442, 0.939, 0.680], [0.437, 0.933, 0.194], [0.939, 0.442, 0.680], [0.939, 0.939, 0.680], [0.686, 0.686, 0.942], [0.502, 0.502, 0.495], [0.998, 0.998, 0.007], [0.375, 0.375, 0.875], [0.875, 0.875, 0.375]], "space_group": "R3m (160)", "dos_at_fermi_per_ev_cell": 24.63, "volume_a3_per_atom": 15.796}



2:
{"formula": "Hf3V8Mo", "functional": "PBE", "state": "optimized geometry", "lattice": [[5.140, 0.000, 0.000], [-2.570, 4.452, 0.000], [0.000, 0.000, 8.263]], "species": ["V", "V", "V", "V", "V", "V", "V", "V", "Mo", "Hf", "Hf", "Hf"], "frac_coords": [[0.333, 0.667, 0.502], [0.995, 0.497, 0.745], [0.333, 0.667, 0.999], [0.503, 0.005, 0.745], [0.674, 0.837, 0.256], [0.163, 0.837, 0.256], [0.503, 0.497, 0.745], [0.163, 0.326, 0.256], [0.000, 0.000, 0.561], [0.000, 0.000, 0.931], [0.667, 0.333, 0.441], [0.667, 0.333, 0.063]], "space_group": "P3m1 (156)", "dos_at_fermi_per_ev_cell": 19.46, "volume_a3_per_atom": 15.756}



Energies in kJ/mol of atoms, measured from the most stable structure: 1 1.4; 2 0.0.



1:
{"formula": "HfVMo2", "functional": "PBE", "state": "optimized geometry", "lattice": [[-2.279, 2.281, 0.069], [-3.177, -3.184, 0.346], [0.313, 0.176, 4.497]], "species": ["Hf", "V", "Mo", "Mo"], "frac_coords": [[0.500, 0.500, 0.500], [0.500, 0.000, 0.000], [0.000, 0.500, 0.000], [0.000, 0.000, 0.500]], "space_group": "P4/mmm (123)", "dos_at_fermi_per_ev_cell": 5.88, "volume_a3_per_atom": 16.412}



2:
{"formula": "HfVMo2", "functional": "PBE", "state": "optimized geometry", "lattice": [[-1.417, -2.429, 0.884], [4.336, -2.793, -0.724], [-0.976, 2.120, 4.706]], "species": ["Mo", "Mo", "V", "Hf"], "frac_coords": [[0.044, 0.773, 0.546], [0.956, 0.227, 0.454], [0.500, 0.000, 0.000], [0.500, 0.500, 0.000]], "space_group": "C2/m (12)", "dos_at_fermi_per_ev_cell": 4.37, "volume_a3_per_atom": 17.504}



Energies in kJ/mol of atoms, measured from the most stable structure: 1 0.0; 2 54.1.



1:
{"formula": "HfVMo2", "functional": "PBE", "state": "optimized geometry", "lattice": [[4.520, 0.000, 0.000], [2.260, 3.915, 0.000], [2.260, 1.305, 3.691]], "species": ["Mo", "Mo", "Hf", "V"], "frac_coords": [[0.750, 0.750, 0.750], [0.250, 0.250, 0.250], [0.500, 0.500, 0.500], [0.000, 0.000, 0.000]], "space_group": "Fm-3m (225)", "dos_at_fermi_per_ev_cell": 4.73, "volume_a3_per_atom": 16.329}



2:
{"formula": "HfVMo2", "functional": "PBE", "state": "optimized geometry", "lattice": [[-2.322, -1.965, 0.886], [1.140, -0.014, 2.956], [-3.784, 5.139, 1.484]], "species": ["V", "Hf", "Mo", "Mo"], "frac_coords": [[0.500, 0.500, 0.000], [0.500, 0.500, 0.500], [0.000, 0.000, 0.227], [0.000, 0.000, 0.773]], "space_group": "P4/mmm (123)", "dos_at_fermi_per_ev_cell": 5.95, "volume_a3_per_atom": 16.442}



3:
{"formula": "HfVMo2", "functional": "PBE", "state": "optimized geometry", "lattice": [[3.748, 0.000, 0.000], [0.000, 3.748, 0.000], [1.874, 1.874, 10.097]], "species": ["Hf", "Hf", "Mo", "Mo", "Mo", "Mo", "V", "V"], "frac_coords": [[0.750, 0.250, 0.500], [0.000, 0.000, 0.000], [0.375, 0.869, 0.750], [0.875, 0.381, 0.750], [0.619, 0.625, 0.250], [0.131, 0.125, 0.250], [0.250, 0.750, 0.500], [0.500, 0.500, 0.000]], "space_group": "I-42d (122)", "dos_at_fermi_per_ev_cell": 7.35, "volume_a3_per_atom": 17.732}



Energies in kJ/mol of atoms, measured from the most stable structure: 1 2.8; 2 0.0; 3 68.3.



1:
{"formula": "HfMo2W", "functional": "PBE", "state": "optimized geometry", "lattice": [[-0.002, 6.932, 2.335], [1.921, -2.252, 6.689], [3.641, 2.574, 3.821]], "species": ["Hf", "Hf", "Mo", "Mo", "Mo", "Mo", "W", "W"], "frac_coords": [[0.250, 0.750, 0.500], [0.500, 0.500, 0.000], [0.875, 0.901, 0.750], [0.651, 0.125, 0.250], [0.099, 0.625, 0.250], [0.375, 0.349, 0.750], [0.000, 0.000, 0.000], [0.750, 0.250, 0.500]], "space_group": "I-42d (122)", "dos_at_fermi_per_ev_cell": 8.39, "volume_a3_per_atom": 18.592}



2:
{"formula": "HfMo2W", "functional": "PBE", "state": "optimized geometry", "lattice": [[3.225, 0.000, 0.000], [0.000, 4.578, 0.000], [0.000, 0.000, 4.578]], "species": ["Hf", "Mo", "Mo", "W"], "frac_coords": [[0.500, 0.500, 0.500], [0.000, 0.500, 0.000], [0.000, 0.000, 0.500], [0.500, 0.000, 0.000]], "space_group": "P4/mmm (123)", "dos_at_fermi_per_ev_cell": 3.34, "volume_a3_per_atom": 16.902}



3:
{"formula": "HfMo2W", "functional": "PBE", "state": "optimized geometry", "lattice": [[3.221, 0.000, 0.000], [0.000, 3.221, 0.000], [0.000, 0.000, 6.557]], "species": ["Mo", "Mo", "Hf", "W"], "frac_coords": [[0.000, 0.000, 0.236], [0.000, 0.000, 0.764], [0.500, 0.500, 0.500], [0.500, 0.500, 0.000]], "space_group": "P4/mmm (123)", "dos_at_fermi_per_ev_cell": 2.97, "volume_a3_per_atom": 17.003}



Energies in kJ/mol of atoms, measured from the most stable structure: 1 74.5; 2 2.8; 3 0.0.



1:
{"formula": "HfMoW", "functional": "PBE", "state": "optimized geometry", "lattice": [[5.160, 0.089, 0.000], [-2.393, 4.572, 0.000], [-1.383, -2.331, 4.736]], "species": ["W", "W", "Hf", "Hf", "Mo", "Mo"], "frac_coords": [[0.750, 0.250, 0.500], [0.250, 0.750, 0.500], [0.669, 0.331, 0.000], [0.331, 0.669, 0.000], [0.849, 0.849, 0.698], [0.151, 0.151, 0.302]], "space_group": "Fmmm (69)", "dos_at_fermi_per_ev_cell": 5.92, "volume_a3_per_atom": 18.793}



2:
{"formula": "HfMoW", "functional": "PBE", "state": "optimized geometry", "lattice": [[-1.387, 2.213, -4.694], [4.401, -3.065, 0.302], [-2.922, -3.997, 2.083]], "species": ["W", "W", "Hf", "Hf", "Mo", "Mo"], "frac_coords": [[0.000, 0.500, 0.500], [0.500, 0.000, 0.500], [0.750, 0.875, 0.125], [0.250, 0.125, 0.875], [0.000, 0.500, 0.000], [0.500, 0.500, 0.500]], "space_group": "Imma (74)", "dos_at_fermi_per_ev_cell": 3.78, "volume_a3_per_atom": 18.256}



3:
{"formula": "HfMoW", "functional": "PBE", "state": "optimized geometry", "lattice": [[3.231, 0.000, 0.000], [0.000, 3.231, 0.000], [-1.615, -1.615, 5.039]], "species": ["W", "Hf", "Mo"], "frac_coords": [[0.321, 0.321, 0.642], [0.001, 0.001, 0.002], [0.678, 0.678, 0.356]], "space_group": "I4mm (107)", "dos_at_fermi_per_ev_cell": 2.26, "volume_a3_per_atom": 17.534}



4:
{"formula": "HfMoW", "functional": "PBE", "state": "optimized geometry", "lattice": [[-2.311, 1.799, -0.122], [-1.483, -1.636, 3.976], [2.796, 3.586, -0.083]], "species": ["W", "Hf", "Mo"], "frac_coords": [[0.635, 0.333, 0.667], [0.012, 0.000, 0.000], [0.353, 0.667, 0.333]], "space_group": "P3m1 (156)", "dos_at_fermi_per_ev_cell": 2.25, "volume_a3_per_atom": 17.500}



Energies in kJ/mol of atoms, measured from the most stable structure: 1 52.5; 2 0.0; 3 8.4; 4 17.3.



1:
{"formula": "HfMo2W2", "functional": "PBE", "state": "optimized geometry", "lattice": [[-3.702, 1.568, 1.407], [0.534, -2.052, 3.693], [0.978, 4.015, 4.545]], "species": ["W", "W", "Mo", "Mo", "Hf"], "frac_coords": [[0.382, 0.382, 0.236], [0.618, 0.618, 0.764], [0.750, 0.250, 0.500], [0.250, 0.750, 0.500], [0.000, 0.000, 0.000]], "space_group": "I4/mmm (139)", "dos_at_fermi_per_ev_cell": 7.62, "volume_a3_per_atom": 19.422}



2:
{"formula": "HfMo2W2", "functional": "PBE", "state": "optimized geometry", "lattice": [[-2.744, -0.942, -3.486], [0.858, -3.565, -2.662], [-3.259, -4.232, 0.758]], "species": ["Mo", "Mo", "W", "W", "Hf"], "frac_coords": [[0.904, 0.904, 0.789], [0.096, 0.096, 0.211], [0.705, 0.705, 0.384], [0.295, 0.295, 0.616], [0.500, 0.500, 0.000]], "space_group": "R-3m (166)", "dos_at_fermi_per_ev_cell": 2.39, "volume_a3_per_atom": 16.782}



Energies in kJ/mol of atoms, measured from the most stable structure: 1 66.5; 2 0.0.